A plane-wave DFT calculation with GGA-PBE was carried out for a relaxed Ba2TePt2 crystal.

Unit cell a=6.230 b=6.230 c=8.158 alpha=90.00 beta=90.00 gamma=90.00
Space group I4/mmm (No. 139)
Inequivalent atoms, fractional coordinates:
Ba (0.000, 0.500, 0.250) (multiplicity 4)
Te (0.000, 0.000, 0.000) (multiplicity 2)
Pt (0.000, 0.000, 0.343) (multiplicity 4)

* polymorph energy (0 for the lowest one): 0.000 eV per atom
* uncorrected formation energy: -0.9177 eV/atom